10
Lattice="-4.4571 -4.8969 2.7339 5.3537 -4.7553 0.2106 1.0432 1.3575 4.1323" Properties=species:S:1:pos:R:3 comment="Sc2NiBi2 (PBE, relaxed)" m_tot_mub_per_fu=0.000 ef_ev_per_atom=-0.2181 dos_at_fermi_per_ev_atom=0.581 pbc="T T T"
Sc 3.3409 -3.2325 2.6393
Sc 2.0880 -6.5475 4.0447
Sc -1.4011 -5.0622 4.4375
Sc -0.1481 -1.7472 3.0322
Ni 0.0000 0.0000 0.0000
Ni 0.4483 -4.8261 1.4723
Bi 2.9850 -5.6941 1.1171
Bi -0.2458 -7.2524 2.4446
Bi -2.0883 -3.9580 1.8275
Bi 1.1425 -2.3998 0.5000

9
Lattice="-2.7412 3.4299 -2.0382 -3.9864 -2.2525 1.5709 0.2852 4.4490 7.1033" Properties=species:S:1:pos:R:3 comment="SrErGe2Pt5 (PBE, relaxed)" m_tot_mub_per_fu=0.000 ef_ev_per_atom=-0.6022 dos_at_fermi_per_ev_atom=0.286 pbc="T T T"
Sr 0.1426 2.2245 3.5517
Er 0.0000 0.0000 0.0000
Ge -3.3035 1.5293 1.2681
Ge -3.1389 4.0971 5.3679
Pt -1.9409 -0.3099 2.0889
Pt -1.3183 2.5313 0.2844
Pt -1.7603 2.5063 6.5853
Pt -1.1377 5.3475 4.7808
Pt -3.2212 2.8132 3.3180

5
Lattice="5.3835 0.0000 0.0000 0.0000 5.3835 0.0000 0.0000 0.0000 5.3835" Properties=species:S:1:pos:R:3 comment="RbMg3S (PBE, relaxed)" m_tot_mub_per_fu=0.000 relative_energy_mev_per_atom=0 dos_at_fermi_per_ev_atom=0.750 formation_energy_uncorrected_ev_per_atom=0.061 pbc="T T T"
S 0.0000 0.0000 0.0000
Mg 0.0000 2.6917 0.0000
Mg 0.0000 0.0000 2.6917
Mg 2.6917 0.0000 0.0000
Rb 2.6917 2.6917 2.6917

5
Lattice="4.1403 0.0000 0.0000 0.0000 4.1403 0.0000 0.0000 0.0000 4.1403" Properties=species:S:1:pos:R:3 comment="CrSiNi3 (PBE, relaxed)" m_tot_mub_per_fu=0.002 relative_energy_mev_per_atom=0 dos_at_fermi_per_ev_atom=2.113 formation_energy_uncorrected_ev_per_atom=0.783 pbc="T T T"
Ni 0.0000 2.0701 0.0000
Ni 0.0000 0.0000 2.0701
Ni 2.0701 0.0000 0.0000
Si 0.0000 0.0000 0.0000
Cr 2.0701 2.0701 2.0701

80
Lattice="13.4617 0.0000 0.0000 -4.4872 12.6918 0.0000 -4.4872 -6.3459 10.9914" Properties=species:S:1:pos:R:3 comment="Th12Re3H5 (PBE, relaxed)" m_tot_mub_per_fu=0.000 final_energy_ev_per_atom=-7.189 dos_at_fermi_per_ev_atom=1.139 pbc="T T T"
Re 7.8526 3.9662 1.3739
Re 7.8526 8.7256 1.3739
Re -1.1218 5.5527 6.8696
Re 1.1218 -0.7932 4.1218
Re 10.0962 0.0000 2.7479
Re 1.1218 6.3459 2.7479
Re 3.3654 0.0000 8.2436
Re -5.6090 6.3459 8.2436
Re 3.3654 7.1391 6.8696
Re 5.6090 0.7932 4.1218
Re -3.3654 -2.3797 9.6175
Re -3.3654 2.3797 9.6175
Th 8.9825 1.3152 0.3277
Th -0.0080 4.1143 4.5206
Th 10.0774 3.0438 3.1138
Th 5.6278 1.9983 1.3028
Th 1.7542 4.7373 7.5500
Th 9.5800 6.2858 2.0543
Th -1.1030 7.3914 4.4166
Th -3.3843 10.6935 1.3028
Th 0.4894 7.9545 7.5500
Th 6.1253 6.4059 2.0543
Th 6.7228 3.5468 4.1929
Th 6.7228 11.3766 0.3277
Th -3.9978 5.7342 5.8234
Th 2.8492 4.5969 1.0791
Th -4.4792 9.1450 4.1929
Th 2.2356 -2.2316 6.4708
Th -0.4894 0.9968 2.3819
Th 2.8492 8.1550 0.9751
Th 5.6279 9.6480 3.1138
Th -0.6056 4.5368 0.9751
Th -2.7330 7.3427 8.6095
Th 3.3466 5.3003 4.4166
Th 6.2414 6.9576 5.8234
Th 5.0928 -1.7490 9.9123
Th 1.1406 1.0456 6.5748
Th -1.7542 -0.6117 5.1680
Th -0.6056 8.0949 1.0791
Th -1.1406 -3.3021 7.8776
Th 7.2202 -0.9969 2.3819
Th 5.0928 1.8091 10.0163
Th 1.6380 -1.8091 10.0163
Th 2.2516 8.5775 4.5206
Th 4.9766 5.3490 8.6095
Th 8.9664 -2.7991 6.7985
Th 8.4850 0.6117 5.1680
Th -2.2356 -5.0307 10.6637
Th 1.6381 1.7490 9.9123
Th 3.9978 -1.6086 3.4414
Th -1.6381 -0.0601 8.9371
Th -2.2356 2.7991 6.7985
Th 7.8715 -4.3476 9.6886
Th 5.5902 -1.0456 6.5748
Th -1.1406 4.3476 9.6886
Th -5.0928 0.0601 8.9371
Th 2.7330 1.6085 3.4414
Th -5.5902 3.3021 7.8776
Th 4.4952 2.2316 6.4708
Th -4.4952 5.0307 10.6637
H -1.1218 3.1729 2.7479
H -2.2436 6.3459 0.0000
H 0.0000 0.0000 0.0000
H 3.3654 2.3797 1.3739
H 4.4872 -3.1729 5.4957
H 4.4872 6.3459 0.0000
H -3.3654 7.1391 4.1218
H 5.6090 -3.9662 9.6175
H 5.6090 5.5527 4.1218
H 1.1218 -3.1729 8.2436
H 3.3654 9.5188 2.7479
H 2.2436 3.1729 5.4957
H 6.7308 0.0000 0.0000
H -2.2436 -3.1729 5.4957
H -1.1218 0.7932 6.8696
H -1.1218 10.3121 1.3739
H -4.4872 3.1729 5.4957
H 7.8526 -0.7932 6.8696
H 1.1218 3.9662 9.6175
H 5.6090 3.1729 8.2436

4
Lattice="-0.7692 0.9397 -3.4462 -3.0237 -2.0482 0.1164 -4.9572 7.4974 3.1508" Properties=species:S:1:pos:R:3 comment="CaNdYCd (PBE, relaxed)" m_tot_mub_per_fu=0.001 ef_ev_per_atom=-0.1486 relative_energy_mev_per_atom=0 dos_at_fermi_per_ev_atom=1.462 pbc="T T T"
Ca -5.7680 5.3012 0.7959
Nd -0.4473 0.6765 0.2843
Y -3.6492 2.0967 -0.5508
Cd -2.7756 4.1978 1.7642

4
Lattice="-1.7667 4.2781 1.9476 -4.8941 1.0754 -0.3279 -2.8769 -0.1139 4.1142" Properties=species:S:1:pos:R:3 comment="PrDyZnRu (PBE, relaxed)" m_tot_mub_per_fu=0.000 ef_ev_per_atom=-0.2570 relative_energy_mev_per_atom=5 dos_at_fermi_per_ev_atom=0.889 pbc="T T T"
Pr -4.7688 2.6198 2.8670
Ru -2.3844 1.3099 1.4335
Zn -7.1532 3.9297 4.3004
Dy 0.0000 0.0000 0.0000

12
Lattice="6.0224 -0.1473 -0.0222 -4.9047 3.6141 0.0594 -0.0129 0.0434 3.6610" Properties=species:S:1:pos:R:3 comment="BC2 (PBE, relaxed)" m_tot_mub_per_fu=0.000 ef_ev_per_atom=0.3638 relative_energy_mev_per_atom=124 dos_at_fermi_per_ev_atom=0.139 pbc="T T T"
B 0.7033 1.8074 1.9550
B -0.6182 1.0364 0.7806
B -1.3459 2.5200 3.6797
B 4.1027 0.5258 1.9121
C -3.1017 3.0197 1.8872
C 1.7637 2.2764 0.8896
C 3.4556 1.7229 2.7615
C 2.9083 -0.0145 0.8999
C 2.3659 1.1235 0.0163
C 1.1990 0.5331 2.7383
C -4.8050 3.5948 3.6970
C -0.0046 2.9373 2.8030

11
Lattice="3.7716 0.0000 -1.1479 -1.1297 6.5356 -3.7119 0.1135 -0.3429 7.1433" Properties=species:S:1:pos:R:3 comment="TiAl8Ir2 (PBE, relaxed)" m_tot_mub_per_fu=0.000 ef_ev_per_atom=-0.6039 dos_at_fermi_per_ev_atom=0.242 pbc="T T T"
Ti 1.8858 0.0000 -0.5739
Al 1.5237 5.6657 -1.7638
Al 0.7245 3.4618 2.3805
Al 0.4492 0.9158 1.4759
Al -0.3494 2.0215 -1.1481
Al 2.3063 5.2769 0.8077
Al 2.0310 2.7309 -0.0969
Al 1.2318 0.5270 4.0474
Al 3.1049 4.1712 3.4316
Ir 0.0068 4.4334 0.0224
Ir 2.7487 1.7593 2.2611

4
Lattice="1.4035 -3.7719 0.0978 -1.5747 -2.7972 -2.4295 2.1531 -1.4272 -3.0876" Properties=species:S:1:pos:R:3 comment="CaOsO2 (PBE, relaxed)" m_tot_mub_per_fu=0.000 relative_energy_mev_per_atom=786 dos_at_fermi_per_ev_atom=0.656 formation_energy_uncorrected_ev_per_atom=-0.521 pbc="T T T"
Ca 0.0000 0.0000 0.0000
Os 0.9909 -3.9981 -2.7097
O 0.4955 -1.9991 -1.3548
O 1.4864 -5.9972 -4.0645

4
Lattice="-2.0967 0.1442 3.0944 -0.1948 -3.5619 0.0340 5.3005 -2.0566 3.6872" Properties=species:S:1:pos:R:3 comment="BaFe2Mo (PBE, relaxed)" m_tot_mub_per_fu=2.030 ef_ev_per_atom=0.7652 relative_energy_mev_per_atom=234 dos_at_fermi_per_ev_atom=1.536 pbc="T T T"
Ba 2.9694 -4.3791 4.4769
Fe 0.4657 -0.6934 0.3478
Fe 0.4861 -0.6742 2.6216
Mo 1.6407 -2.5370 1.2299

8
Lattice="-3.2533 0.6952 1.9311 1.7823 -4.4523 4.6054 2.2825 6.0012 1.6848" Properties=species:S:1:pos:R:3 comment="Dy2TmZrS4 (PBE, relaxed)" m_tot_mub_per_fu=0.000 dos_at_fermi_per_ev_atom=0.439 formation_energy_uncorrected_ev_per_atom=-1.816 pbc="T T T"
Dy -0.4854 3.3482 1.8080
Dy 2.0324 0.7744 3.1451
Tm 0.0000 0.0000 0.0000
Zr -0.7355 -1.8786 3.2682
S -0.6285 0.6931 2.5226
S 1.4401 1.5510 5.6987
S 2.1846 3.4184 2.4496
S 1.8802 -1.8695 3.8405